A geometry-optimized Rb3NbV2O8 structure. Source: Alexandria via LeMat-Bulk, functional PBE+U.

* total DFT energy (no corrections): -6.880 eV per atom
* M_tot: 2.00 μB per formula unit
* SG: No. 164

Lattice parameters (Å, degrees): 5.8915 5.8915 7.9846 90.00 90.00 120.00
Closest atoms and distances in Å follow each position.
Fractional positions:
O1 0.3333 0.6667 0.0600  1 V 1.70
O2 0.3296 0.1648 0.6456  1 V 1.84, 1 Nb 2.04
O3 0.1648 0.8352 0.3544  1 V 1.84, 1 Nb 2.04
O4 0.8352 0.6704 0.6456  1 V 1.84, 1 Nb 2.04
O5 0.1648 0.3296 0.3544  1 V 1.84, 1 Nb 2.04
O6 0.6704 0.8352 0.3544  1 V 1.84, 1 Nb 2.04
O7 0.8352 0.1648 0.6456  1 V 1.84, 1 Nb 2.04
O8 0.6667 0.3333 0.9400  1 V 1.70
V1 0.3333 0.6667 0.2728  4 O 1.70-1.84
V2 0.6667 0.3333 0.7272  4 O 1.70-1.84
Rb1 0.3333 0.6667 0.7125  7 O 2.77-2.99
Rb2 0.6667 0.3333 0.2875  7 O 2.77-2.99
Rb3 0.0000 0.0000 0.0000  12 O 3.29-3.44
Nb1 0.0000 0.0000 0.5000  6 O 2.04